(1)
# LiVZn

LiVZn after structural relaxation (PBE, Alexandria via LeMat-Bulk).

## Properties
- symmetry = No. 187
- excess energy over the best structure of this formula in the dataset (meV/atom) = 397
- calculated volume (Å³ per atom) = 14.75
- formation energy (eV/atom) = 0.40
- density of states at the Fermi level (states/eV/f.u.) = 3.483

Cell and atoms, written as CIF:
```
data_LiVZn
_chemical_formula_sum 'Li1 V1 Zn1'
_cell_length_a 4.591
_cell_length_b 4.591
_cell_length_c 2.425
_cell_angle_alpha 90.00
_cell_angle_beta 90.00
_cell_angle_gamma 120.00
_space_group_name_H-M_alt 'P 1'
_space_group_IT_number 1
loop_
_space_group_symop_operation_xyz
'x,y,z'
loop_
_atom_site_label
_atom_site_fract_x
_atom_site_fract_y
_atom_site_fract_z
_atom_site_occupancy
Li1 0.000 0.000 0.000 1
V1 0.667 0.333 0.500 1
Zn1 0.333 0.667 0.500 1
```

=====

(2)
# CsBeTeC2

CsBeTeC2 after structural relaxation (PBE, Alexandria via LeMat-Bulk).

## Properties
- energy relative to the elements, uncorrected (eV/atom) = 2.216
- symmetry = No. 123
- calculated volume (Å³ per atom) = 20.17
- density of states at the Fermi level (states/eV/f.u.) = 4.128

Cell and atoms, written as CIF:
```
data_CsBeTeC2
_chemical_formula_sum 'Cs1 Be1 Te1 C2'
_cell_length_a 4.508
_cell_length_b 4.508
_cell_length_c 4.963
_cell_angle_alpha 90.00
_cell_angle_beta 90.00
_cell_angle_gamma 90.00
_space_group_name_H-M_alt 'P 1'
_space_group_IT_number 1
loop_
_space_group_symop_operation_xyz
'x,y,z'
loop_
_atom_site_label
_atom_site_fract_x
_atom_site_fract_y
_atom_site_fract_z
_atom_site_occupancy
Cs1 0.000 0.000 0.000 1
Be1 0.500 0.500 0.000 1
Te1 0.500 0.500 0.500 1
C1 0.000 0.500 0.500 1
C2 0.500 0.000 0.500 1
```

=====

- Which value of calculated volume does entry 1 give?
  14.75 Å³ per atom